{
  "formula": "ScB4Rh4",
  "functional": "PBE",
  "state": "optimized geometry",
  "formation_enthalpy_0k_ev_per_atom": -0.5371,
  "volume_a3_per_atom": 11.46,
  "crystal_system": "tetragonal",
  "cell": [[5.299, 0.000, 0.000], [0.000, 5.299, 0.000], [0.000, 0.000, 7.344]],
  "species": ["Sc", "Sc", "B", "B", "B", "B", "B", "B", "B", "B", "Rh", "Rh", "Rh", "Rh", "Rh", "Rh", "Rh", "Rh"],
  "frac_coords": [[0.250, 0.750, 0.250], [0.750, 0.250, 0.750], [0.081, 0.250, 0.104], [0.250, 0.081, 0.604], [0.250, 0.419, 0.604], [0.419, 0.250, 0.104], [0.581, 0.750, 0.896], [0.750, 0.581, 0.396], [0.750, 0.919, 0.396], [0.919, 0.750, 0.896], [0.002, 0.750, 0.601], [0.250, 0.502, 0.899], [0.250, 0.998, 0.899], [0.498, 0.750, 0.601], [0.502, 0.250, 0.399], [0.750, 0.002, 0.101], [0.750, 0.498, 0.101], [0.998, 0.250, 0.399]]
}